The following is a meta-GGA SCAN calculation of CaBPd3 at its PBEsol-relaxed geometry, from Alexandria via LeMat-Bulk.

Results
total moment = 0.00 μB per formula unit
DFT formation energy = -0.62 eV/atom

Cell and atoms, written as POSCAR:
```
CaBPd3
1.0
5.226 0.000 0.000
0.000 5.900 0.000
-2.480 0.000 4.922
Ca B Pd
2 2 6
Cartesian
0.606 1.475 1.137
2.139 4.425 3.784
2.092 4.425 0.206
0.653 1.475 4.715
0.495 4.425 1.491
-0.493 0.036 3.664
-0.493 2.914 3.664
3.238 2.986 1.258
3.238 5.865 1.258
2.251 1.475 3.431
```